Record 1
Compound: Nd2Al3NiPt4
Source: the Alexandria database
Functional: PBE-GGA
Structure: optimized geometry

The value obtained for the total DFT energy (no corrections) is -6.0562 eV per atom.

The structure belongs to space group P-4m2 (No. 115); the cell edges are 4.181, 4.181 and 10.729 Å and the angles 90.00°, 90.00° and 90.00°. Symmetry generates all atoms from Nd at (0.000, 0.500, 0.240), Al at (0.000, 0.000, 0.000), Al at (0.000, 0.500, 0.630), Ni at (0.500, 0.500, 0.000), Pt at (0.000, 0.000, 0.500), Pt at (0.000, 0.500, 0.862) and Pt at (0.500, 0.500, 0.500).


Record 2
Compound: Dy2Ga3Ge3
Source: the Alexandria database
Functional: PBE-GGA
Structure: optimized geometry

The value obtained for the total DFT energy (no corrections) is -4.4940 eV per atom.

The structure belongs to space group Pmmm (No. 47); the cell edges are 4.245, 4.420 and 8.430 Å and the angles 90.00°, 90.00° and 90.00°. Symmetry generates all atoms from Dy at (0.000, 0.000, 0.248), Ga at (0.000, 0.500, 0.500), Ga at (0.500, 0.500, 0.257), Ge at (0.000, 0.500, 0.000), Ge at (0.500, 0.000, 0.000) and Ge at (0.500, 0.000, 0.500).